Run P
# LiZr2Ag2 PBE relaxed
# N(E_F) = 0.83 states/eV per atom
# magnetic moment = 0.000 μB per atom
data_LiZr2Ag2
_cell_length_a 8.6397
_cell_length_b 8.6397
_cell_length_c 2.9036
_cell_angle_alpha 90.00
_cell_angle_beta 90.00
_cell_angle_gamma 90.00
_space_group_name_H-M_alt 'P 4/m b m'
_space_group_IT_number 127
_space_group_name_Hall '-P 4 2ab'
loop_
_atom_site_label
_atom_site_fract_x
_atom_site_fract_y
_atom_site_fract_z
Li1 0.0000 0.0000 0.0000
Zr1 0.1314 0.3686 0.0000
Ag1 0.1651 0.6651 0.5000

Run Q
# LiZr2Ag2 PBE relaxed
# N(E_F) = 0.65 states/eV per atom
# magnetic moment = 0.000 μB per atom
data_LiZr2Ag2
_cell_length_a 8.4272
_cell_length_b 8.4272
_cell_length_c 2.9744
_cell_angle_alpha 90.00
_cell_angle_beta 90.00
_cell_angle_gamma 90.00
_space_group_name_H-M_alt 'P 4/m b m'
_space_group_IT_number 127
_space_group_name_Hall '-P 4 2ab'
loop_
_atom_site_label
_atom_site_fract_x
_atom_site_fract_y
_atom_site_fract_z
Li1 0.0000 0.0000 0.0000
Zr1 0.1702 0.3298 0.5000
Ag1 0.1254 0.6254 0.0000

Run R
# LiZr2Ag2 PBE relaxed
# N(E_F) = 0.70 states/eV per atom
# magnetic moment = 0.177 μB per atom
data_LiZr2Ag2
_cell_length_a 3.7471
_cell_length_b 3.7471
_cell_length_c 15.4609
_cell_angle_alpha 90.00
_cell_angle_beta 90.00
_cell_angle_gamma 90.00
_space_group_name_H-M_alt 'I 4/m m m'
_space_group_IT_number 139
_space_group_name_Hall '-I 4 2'
loop_
_atom_site_label
_atom_site_fract_x
_atom_site_fract_y
_atom_site_fract_z
Li1 0.0000 0.0000 0.0000
Zr1 0.0000 0.0000 0.4028
Ag1 0.0000 0.5000 0.2500

Run S
# LiZr2Ag2 PBE relaxed
# N(E_F) = 0.61 states/eV per atom
# magnetic moment = 0.000 μB per atom
data_LiZr2Ag2
_cell_length_a 4.0457
_cell_length_b 4.0457
_cell_length_c 14.0203
_cell_angle_alpha 90.00
_cell_angle_beta 90.00
_cell_angle_gamma 90.00
_space_group_name_H-M_alt 'I 4/m m m'
_space_group_IT_number 139
_space_group_name_Hall '-I 4 2'
loop_
_atom_site_label
_atom_site_fract_x
_atom_site_fract_y
_atom_site_fract_z
Li1 0.0000 0.0000 0.0000
Zr1 0.0000 0.5000 0.2500
Ag1 0.0000 0.0000 0.4043

Most stable: run Q

Run P
# LiZr3Ag PBE relaxed
# N(E_F) = 1.55 states/eV per atom
# magnetic moment = 0.294 μB per atom
data_LiZr3Ag
_cell_length_a 5.2159
_cell_length_b 5.2159
_cell_length_c 5.2159
_cell_angle_alpha 90.00
_cell_angle_beta 90.00
_cell_angle_gamma 90.00
_space_group_name_H-M_alt 'P m -3 m'
_space_group_IT_number 221
_space_group_name_Hall '-P 4 2 3'
loop_
_atom_site_label
_atom_site_fract_x
_atom_site_fract_y
_atom_site_fract_z
Li1 0.0000 0.0000 0.0000
Zr1 0.0000 0.5000 0.5000
Ag1 0.5000 0.5000 0.5000

Run Q
# LiZr3Ag PBE relaxed
# N(E_F) = 1.17 states/eV per atom
# magnetic moment = 0.000 μB per atom
data_LiZr3Ag
_cell_length_a 4.7141
_cell_length_b 4.7141
_cell_length_c 4.7141
_cell_angle_alpha 90.00
_cell_angle_beta 90.00
_cell_angle_gamma 90.00
_space_group_name_H-M_alt 'P m -3 m'
_space_group_IT_number 221
_space_group_name_Hall '-P 4 2 3'
loop_
_atom_site_label
_atom_site_fract_x
_atom_site_fract_y
_atom_site_fract_z
Li1 0.0000 0.0000 0.0000
Zr1 0.0000 0.0000 0.5000
Ag1 0.5000 0.5000 0.5000

Most stable: run Q